Computed, not measured: crystalline Sm6Tm8Pu at its relaxed geometry at the PBE level of DFT.

a = 8.5527 Å, b = 8.5527 Å, c = 8.5527 Å
α = 63.33°, β = 63.33°, γ = 63.33°
Sites, in units of the cell vectors:
Sm 0.8902 0.4546 0.7799
Sm 0.2201 0.1098 0.5454
Sm 0.5454 0.2201 0.1098
Sm 0.4546 0.7799 0.8902
Sm 0.7799 0.8902 0.4546
Sm 0.1098 0.5454 0.2201
Tm 0.1107 0.7162 0.7518
Tm 0.2482 0.8893 0.2838
Tm 0.2838 0.2482 0.8893
Tm 0.5762 0.5762 0.5762
Tm 0.4238 0.4238 0.4238
Tm 0.7162 0.7518 0.1107
Tm 0.7518 0.1107 0.7162
Tm 0.8893 0.2838 0.2482
Pu 0.0000 0.0000 0.0000

Properties
Space group: R-3 (148)
Mass density, g/cm³: 8.73
Calculated formation energy, eV/atom: 0.115



Computed, not measured: crystalline Sm10Tm4Pu at its relaxed geometry at the PBE level of DFT.

a = 10.5174 Å, b = 8.6738 Å, c = 8.6738 Å
α = 68.43°, β = 52.68°, γ = 52.68°
Sites, in units of the cell vectors:
Sm 0.2500 0.5000 0.5000
Sm 0.5434 0.3282 0.9007
Sm 0.1284 0.0993 0.3282
Sm 0.5559 0.9007 0.6718
Sm 0.7723 0.6718 0.0993
Sm 0.4566 0.6718 0.0993
Sm 0.7500 0.5000 0.5000
Sm 0.2277 0.3282 0.9007
Sm 0.4441 0.0993 0.3282
Sm 0.8716 0.9007 0.6718
Tm 0.3285 0.7340 0.6089
Tm 0.9375 0.3911 0.7340
Tm 0.0625 0.6089 0.2660
Tm 0.6715 0.2660 0.3911
Pu 0.0000 0.0000 0.0000

Properties
Space group: I4/m (87)
Mass density, g/cm³: 8.04
Calculated formation energy, eV/atom: 0.364



Computed, not measured: crystalline Sm12Tm5Pu at its relaxed geometry at the PBE level of DFT.

a = 12.1771 Å, b = 10.2819 Å, c = 5.7708 Å
α = 90.66°, β = 91.11°, γ = 53.69°
Sites, in units of the cell vectors:
Sm 0.7973 0.0000 0.5675
Sm 0.2027 0.0000 0.4325
Sm 0.6967 0.0000 0.0616
Sm 0.3033 0.0000 0.9384
Sm 0.3232 0.6494 0.0062
Sm 0.0273 0.6494 0.9938
Sm 0.9727 0.3506 0.0062
Sm 0.6768 0.3506 0.9938
Sm 0.4670 0.3616 0.5000
Sm 0.8285 0.6385 0.5000
Sm 0.1715 0.3616 0.5000
Sm 0.5330 0.6385 0.5000
Tm 0.5000 0.0000 0.5000
Tm 0.1315 0.7371 0.5000
Tm 0.8685 0.2629 0.5000
Tm 0.6380 0.7240 0.0000
Tm 0.3620 0.2760 0.0000
Pu 0.0000 0.0000 0.0000

Properties
Space group: C2/m (12)
Mass density, g/cm³: 8.25
Calculated formation energy, eV/atom: 0.104